This record from the Alexandria database describes ZnCrIO2 after structural relaxation. The functional is PBE+U.

Properties
The density of states at the Fermi level is 0.56 states/eV per atom. Its energy above the most stable polymorph in this dataset is 0 meV per atom.

Lattice parameters (Å, degrees): 3.821 3.821 6.761 90.00 90.00 90.00
Space group P4/mmm (No. 123)
One atom of each set of equivalent atoms:
Zn 0.000 0.000 0.000 x1
Cr 0.500 0.500 0.500 x1
I 0.500 0.500 0.000 x1
O 0.000 0.500 0.500 x2